Entry i
First-principles (PBE-GGA) data for a relaxed structure of BaLiSe2N, as listed in the Alexandria database.

Cell: 6.2224 6.2224 5.2857 Å, 90.00 90.00 90.00°
Each line ends with the local moment (μB).
Positions (direct):
1 Li 0.5000 0.5000 0.5000  0.00
2 Ba 0.0000 0.0000 0.0000  0.04
3 Se 0.0000 0.5000 0.0000  0.48
4 Se 0.5000 0.0000 0.0000  0.48
5 N 0.0000 0.0000 0.5000  1.47

## Properties
- space-group type = P4/mmm, No. 123

---

Entry ii
First-principles (PBE-GGA) data for a relaxed structure of BaLiSe2N, as listed in the Alexandria database.

Cell: 5.0408 5.0408 4.5885 Å, 90.00 90.00 90.00°
Each line ends with the local moment (μB).
Positions (direct):
1 Li 0.0000 0.0000 0.0000  0.01
2 Ba 0.5000 0.5000 0.5000  0.01
3 Se 0.0000 0.5000 0.0000  0.16
4 Se 0.5000 0.0000 0.0000  0.16
5 N 0.0000 0.0000 0.5000  1.55

## Properties
- space-group type = P4/mmm, No. 123

---

The most stable arrangement is entry ii, and the next structure is 614 meV per atom less stable.

---

Entry i
First-principles (PBE-GGA) data for a relaxed structure of BaLiTeN2, as listed in the Alexandria database.

Cell: 4.7974 4.7974 5.1927 Å, 90.00 90.00 90.00°
Each line ends with the local moment (μB).
Positions (direct):
1 Te 0.0000 0.0000 0.5000  0.35
2 Li 0.0000 0.0000 0.0000  0.02
3 Ba 0.5000 0.5000 0.5000  0.02
4 N 0.0000 0.5000 0.0000  1.45
5 N 0.5000 0.0000 0.0000  1.45

## Properties
- space-group type = P4/mmm, No. 123

---

Entry ii
First-principles (PBE-GGA) data for a relaxed structure of BaLiTeN2, as listed in the Alexandria database.

Cell: 5.2186 5.2186 6.9845 Å, 90.00 90.00 90.00°
Each line ends with the local moment (μB).
Positions (direct):
1 Te 0.0000 0.0000 0.5000  0.26
2 Li 0.5000 0.5000 0.5000  0.00
3 Ba 0.0000 0.0000 0.0000  0.06
4 N 0.0000 0.5000 0.0000  1.42
5 N 0.5000 0.0000 0.0000  1.42

## Properties
- space-group type = P4/mmm, No. 123

---

The most stable arrangement is entry i, and the next structure is 311 meV per atom less stable.

---

Entry i
First-principles (PBE-GGA) data for a relaxed structure of Ba2LiTeN, as listed in the Alexandria database.

Cell: 5.7018 5.7018 4.3461 Å, 90.00 90.00 90.00°
Positions (direct):
1 Te 0.5000 0.5000 0.5000
2 Li 0.0000 0.0000 0.5000
3 Ba 0.0000 0.5000 0.0000
4 Ba 0.5000 0.0000 0.0000
5 N 0.0000 0.0000 0.0000

## Properties
- space-group type = P4/mmm, No. 123

---

Entry ii
First-principles (PBE-GGA) data for a relaxed structure of Ba2LiTeN, as listed in the Alexandria database.

Cell: 5.6834 4.6525 5.6834 Å, 90.00 90.00 90.00°
Positions (direct):
1 Te 0.0000 0.5000 0.0000
2 Li 0.5000 0.5000 0.5000
3 Ba 0.0000 0.0000 0.5000
4 Ba 0.5000 0.0000 0.0000
5 N 0.0000 0.0000 0.0000

## Properties
- space-group type = P4/mmm, No. 123

---

The most stable arrangement is entry i, and the next structure is 581 meV per atom less stable.